Material: LiRe2Ru
Method: DFT, PBE
State: optimized geometry

Computed properties:
Raw total energy in eV/atom: -8.79
Relative energy among the computed polymorphs in meV/atom: 108
ΔH_f (0 K) in eV per atom: 0.24

a = 2.697 Å, b = 3.969 Å, c = 5.187 Å
α = 90.00°, β = 90.00°, γ = 90.00°
Atoms (fractional coordinates):
Li (0.500, 0.500, 0.750)
Re (0.000, 0.000, 0.988)
Re (0.000, 0.000, 0.512)
Ru (0.500, 0.500, 0.250)